This record from Alexandria describes a geometry-optimized LaEuZnSn structure. The functional is PBE.

* total moment: 7.708 Bohr magnetons per cell
* raw total energy: -5.65 eV/atom
* ΔH_f (0 K): -527.9 meV per atom
* calculated density: 6.83 g cm⁻³

a b c (Å): 5.466 5.466 5.466
angles (deg): 60.00 60.00 60.00
Site moments in Bohr magnetons follow the coordinates.
Positions (direct):
1 Eu 0.500 0.500 0.500  6.91
2 Zn 0.750 0.750 0.750  0.04
3 Sn 0.250 0.250 0.250  -0.04
4 La 0.000 0.000 0.000  0.17



This record from Alexandria describes a geometry-optimized YMg2Cu structure. The functional is PBE.

* total moment: 0.000 Bohr magnetons per cell
* raw total energy: -3.53 eV/atom
* ΔH_f (0 K): -97.4 meV per atom
* calculated density: 3.80 g cm⁻³

a b c (Å): 4.565 6.566 5.859
angles (deg): 90.00 90.00 90.00
Positions (direct):
1 Cu 0.750 0.743 0.250
2 Cu 0.250 0.257 0.750
3 Mg 0.750 0.130 0.503
4 Mg 0.750 0.130 0.997
5 Mg 0.250 0.870 0.497
6 Mg 0.250 0.870 0.003
7 Y 0.750 0.575 0.750
8 Y 0.250 0.425 0.250



This record from Alexandria describes a geometry-optimized La4Pr3Y5 structure. The functional is PBE.

* total moment: 0.000 Bohr magnetons per cell
* raw total energy: -5.51 eV/atom
* ΔH_f (0 K): 17.9 meV per atom
* calculated density: 5.65 g cm⁻³

a b c (Å): 7.318 8.984 9.690
angles (deg): 90.30 40.99 90.28
Positions (direct):
1 La 0.081 0.170 0.669
2 La 0.172 0.833 0.830
3 La 0.828 0.167 0.170
4 La 0.919 0.830 0.331
5 Pr 0.418 0.831 0.331
6 Pr 0.000 0.500 0.500
7 Pr 0.582 0.169 0.669
8 Y 0.667 0.830 0.834
9 Y 0.500 0.500 0.500
10 Y 0.253 0.500 0.998
11 Y 0.747 0.500 0.002
12 Y 0.333 0.170 0.166



This record from Alexandria describes a geometry-optimized ScBSb2I structure. The functional is PBE.

* total moment: 0.001 Bohr magnetons per cell
* raw total energy: -3.58 eV/atom
* energy relative to the elements, uncorrected: 0.984 eV/atom
* calculated density: 4.10 g cm⁻³

a b c (Å): 5.529 5.529 5.648
angles (deg): 90.00 90.00 90.00
Positions (direct):
1 I 0.000 0.000 0.500
2 Sb 0.000 0.500 0.000
3 Sb 0.500 0.000 0.000
4 B 0.500 0.500 0.500
5 Sc 0.000 0.000 0.000



This record from Alexandria describes a geometry-optimized Lu2IrPt structure. The functional is PBE.

* total moment: 0.094 Bohr magnetons per cell
* raw total energy: -7.13 eV/atom
* ΔH_f (0 K): -1145.9 meV per atom
* calculated density: 15.75 g cm⁻³

a b c (Å): 3.373 3.373 6.835
angles (deg): 90.00 90.00 90.00
Site moments in Bohr magnetons follow the coordinates.
Positions (direct):
1 Ir 0.500 0.500 0.500  0.10
2 Lu 0.000 0.000 0.744  -0.01
3 Lu 0.000 0.000 0.256  -0.01
4 Pt 0.500 0.500 0.000  0.00



This record from Alexandria describes a geometry-optimized Pm2CdPtO5 structure. The functional is PBE.

* total moment: 0.000 Bohr magnetons per cell
* raw total energy: -6.59 eV/atom
* energy relative to the elements, uncorrected: -2.008 eV/atom
* calculated density: 8.55 g cm⁻³

a b c (Å): 5.802 6.734 6.734
angles (deg): 90.00 90.00 90.00
Positions (direct):
1 Pm 0.500 0.673 0.173
2 Pm 0.500 0.173 0.327
3 Pm 0.500 0.827 0.673
4 Pm 0.500 0.327 0.827
5 Cd 0.000 0.500 0.500
6 Cd 0.000 0.000 0.000
7 Pt 0.000 0.000 0.500
8 Pt 0.000 0.500 0.000
9 O 0.500 0.500 0.500
10 O 0.500 0.000 0.000
11 O 0.254 0.143 0.643
12 O 0.254 0.857 0.357
13 O 0.254 0.357 0.143
14 O 0.254 0.643 0.857
15 O 0.746 0.143 0.643
16 O 0.746 0.643 0.857
17 O 0.746 0.857 0.357
18 O 0.746 0.357 0.143



This record from Alexandria describes a geometry-optimized Y3ErCd4 structure. The functional is PBE.

* total moment: 0.001 Bohr magnetons per cell
* raw total energy: -3.80 eV/atom
* ΔH_f (0 K): -345.8 meV per atom
* calculated density: 7.01 g cm⁻³

a b c (Å): 5.273 7.533 10.545
angles (deg): 90.00 90.00 90.00
Positions (direct):
1 Y 0.000 0.000 0.000
2 Y 0.000 0.000 0.500
3 Y 0.501 0.000 0.750
4 Y 0.499 0.000 0.250
5 Y 0.501 0.500 0.750
6 Y 0.499 0.500 0.250
7 Cd 0.500 0.748 0.000
8 Cd 0.500 0.748 0.500
9 Cd 0.500 0.252 0.000
10 Cd 0.500 0.252 0.500
11 Cd 0.001 0.748 0.750
12 Cd 0.999 0.748 0.250
13 Cd 0.999 0.252 0.250
14 Cd 0.001 0.252 0.750
15 Er 0.000 0.500 0.000
16 Er 0.000 0.500 0.500



This record from Alexandria describes a geometry-optimized CeTlSn structure. The functional is PBE.

* total moment: 1.511 Bohr magnetons per cell
* raw total energy: -4.44 eV/atom
* ΔH_f (0 K): -335.5 meV per atom
* calculated density: 8.89 g cm⁻³

a b c (Å): 5.527 5.527 6.540
angles (deg): 90.00 90.00 119.94
Site moments in Bohr magnetons follow the coordinates.
Positions (direct):
1 Ce 0.667 0.833 0.750  0.71
2 Ce 0.333 0.167 0.250  0.71
3 Tl 0.000 0.500 0.000  0.00
4 Tl 0.000 0.500 0.500  0.00
5 Sn 0.333 0.167 0.750  -0.02
6 Sn 0.667 0.833 0.250  -0.02



This record from Alexandria describes a geometry-optimized K2PmP2O6 structure. The functional is PBE.

* total moment: 1.001 Bohr magnetons per cell
* raw total energy: -6.59 eV/atom
* energy relative to the elements, uncorrected: -2.268 eV/atom
* calculated density: 3.26 g cm⁻³

a b c (Å): 5.800 5.800 6.665
angles (deg): 90.00 90.00 120.00
Site moments in Bohr magnetons follow the coordinates.
Positions (direct):
1 K 0.333 0.667 0.366  0.01
2 K 0.667 0.333 0.634  0.01
3 Pm 0.000 0.000 0.000  -0.01
4 P 0.333 0.667 0.866  0.11
5 P 0.667 0.333 0.134  0.11
6 O 0.187 0.373 0.778  0.06
7 O 0.186 0.813 0.778  0.06
8 O 0.627 0.814 0.778  0.06
9 O 0.813 0.627 0.222  0.06
10 O 0.814 0.187 0.222  0.06
11 O 0.373 0.186 0.222  0.06



This record from Alexandria describes a geometry-optimized LaEuAu structure. The functional is PBE.

* total moment: 7.246 Bohr magnetons per cell
* raw total energy: -6.55 eV/atom
* ΔH_f (0 K): -385.5 meV per atom
* calculated density: 8.94 g cm⁻³

a b c (Å): 4.116 5.041 5.041
angles (deg): 120.00 90.00 90.00
Site moments in Bohr magnetons follow the coordinates.
Positions (direct):
1 Eu 0.609 0.667 0.333  -6.85
2 Au 0.338 0.333 0.667  0.00
3 La 0.053 0.000 0.000  -0.07



This record from Alexandria describes a geometry-optimized Sm2Ho4Th structure. The functional is PBE.

* total moment: 0.001 Bohr magnetons per cell
* raw total energy: -4.95 eV/atom
* ΔH_f (0 K): 78.7 meV per atom
* calculated density: 8.69 g cm⁻³

a b c (Å): 3.549 3.549 20.988
angles (deg): 85.15 85.15 60.00
Positions (direct):
1 Sm 0.235 0.235 0.296
2 Sm 0.765 0.765 0.704
3 Ho 0.711 0.711 0.868
4 Ho 0.289 0.289 0.132
5 Ho 0.144 0.144 0.569
6 Ho 0.856 0.856 0.431
7 Th 0.000 0.000 0.000



This record from Alexandria describes a geometry-optimized CaSi2Se structure. The functional is PBE.

* total moment: 0.000 Bohr magnetons per cell
* raw total energy: -4.15 eV/atom
* energy relative to the elements, uncorrected: -0.063 eV/atom
* calculated density: 3.59 g cm⁻³

a b c (Å): 5.158 5.158 5.158
angles (deg): 128.84 128.84 75.28
Positions (direct):
1 Ca 0.500 0.500 0.000
2 Se 0.750 0.250 0.500
3 Si 0.000 0.000 0.000
4 Si 0.250 0.750 0.500